1.
Here is a relaxed BiI3 crystal from Alexandria. Energies are from GGA-PBE.

abc: 7.8031 7.8031 7.8691
angles: 90.00 90.00 120.00
Last column: nearest neighbours and their distance in Å.
Fractional coordinates of all 8 atoms:
Bi 0.3333 0.6667 0.0000  6 I 3.12
Bi 0.6667 0.3333 0.0000  6 I 3.12
I 0.0000 0.3528 0.7686  2 Bi 3.12
I 0.0000 0.6472 0.2314  2 Bi 3.12
I 0.3528 0.0000 0.7686  2 Bi 3.12
I 0.3528 0.3528 0.2314  2 Bi 3.12
I 0.6472 0.0000 0.2314  2 Bi 3.12
I 0.6472 0.6472 0.7686  2 Bi 3.12

Calculated values
Calculated total energy   -2.594 eV/atom
Mass density   4.7 g/cm3
Energy relative to the elements, uncorrected   -45 kJ/mol of atoms
SG   P-31m, No. 162



2.
Here is a relaxed Sr2Cd3AgBi4 crystal from Alexandria. Energies are from GGA-PBE.

abc: 5.2855 5.2855 11.5477
angles: 90.00 90.00 90.00
Last column: nearest neighbours and their distance in Å.
Fractional coordinates of all 10 atoms:
Sr 0.0000 0.5000 0.2438  6 Cd 3.86-4.02, 2 Ag 3.86, 9 Bi 3.97-4.26
Sr 0.5000 0.0000 0.7562  6 Cd 3.86-4.02, 2 Ag 3.86, 9 Bi 3.97-4.26
Cd 0.0000 0.0000 0.0000  4 Bi 3.01
Cd 0.0000 0.5000 0.6284  5 Bi 2.85-3.03
Cd 0.5000 0.0000 0.3716  5 Bi 2.85-3.03
Ag 0.5000 0.5000 0.0000  4 Bi 3.01
Bi 0.0000 0.0000 0.5000  4 Cd 3.03
Bi 0.0000 0.5000 0.8753  3 Cd 2.85-3.01, 2 Ag 3.01
Bi 0.5000 0.0000 0.1247  3 Cd 2.85-3.01, 2 Ag 3.01
Bi 0.5000 0.5000 0.5000  4 Cd 3.03

Calculated values
Calculated total energy   -2.716 eV/atom
Mass density   7.5 g/cm3
Formation enthalpy at 0 K   -0.268 eV/atom
SG   P-4m2, No. 115



3.
Here is a relaxed Si2PAu crystal from Alexandria. Energies are from GGA-PBE.

abc: 5.0931 5.0931 5.1336
angles: 90.00 90.00 90.00
Last column: nearest neighbours and their distance in Å.
Fractional coordinates of all 8 atoms:
Si 0.0000 0.5000 0.0000  2 P 2.55, 2 Au 2.55, 2 Si 2.57
Si 0.0000 0.5000 0.5000  2 Au 2.55, 2 P 2.55, 2 Si 2.57
Si 0.5000 0.0000 0.0000  2 P 2.55, 2 Au 2.55, 2 Si 2.57
Si 0.5000 0.0000 0.5000  2 Au 2.55, 2 P 2.55, 2 Si 2.57
P 0.0000 0.0000 0.0000  4 Si 2.55, 2 Au 2.57
P 0.5000 0.5000 0.5000  4 Si 2.55, 2 Au 2.57
Au 0.0000 0.0000 0.5000  4 Si 2.55, 2 P 2.57
Au 0.5000 0.5000 0.0000  4 Si 2.55, 2 P 2.57

Calculated values
Calculated total energy   -4.729 eV/atom
Mass density   7.1 g/cm3
Energy relative to the elements, uncorrected   15 kJ/mol of atoms
SG   I4/mmm, No. 139



| no. | size of the total moment (μB/f.u.) |
| --- | --- |
| 1 | 0.0 |
| 2 | 0.0 |
| 3 | 0.0 |